# Hg2Au

A relaxed Hg2Au crystal (PBE, Alexandria via LeMat-Bulk).

Computed properties:
DOS at the Fermi energy: 0.48 states/eV/f.u.
magnetization: 0.00 μB/f.u.
ΔE_f: 81 meV/atom
DFT total energy: -1.21 eV/atom

Cell lengths 4.062, 8.281, 4.307 Å; angles 90.00, 90.00, 90.00 degrees
Space group Pnnm (No. 58)
Symmetry-distinct sites (fractional):
Hg (0.164, 0.165, 0.000) (multiplicity 4)
Au (0.000, 0.500, 0.000) (multiplicity 2)

---

# Hg2Au

A relaxed Hg2Au crystal (PBE, Alexandria via LeMat-Bulk).

Computed properties:
DOS at the Fermi energy: 1.30 states/eV/f.u.
magnetization: 0.00 μB/f.u.
ΔE_f: 69 meV/atom
DFT total energy: -1.22 eV/atom

Cell lengths 6.702, 4.260, 9.649 Å; angles 90.00, 90.00, 90.00 degrees
Space group Pnma (No. 62)
Symmetry-distinct sites (fractional):
Hg (0.040, 0.250, 0.169) (multiplicity 4)
Hg (0.170, 0.250, 0.539) (multiplicity 4)
Au (0.234, 0.750, 0.333) (multiplicity 4)

---

# HgAu2

A relaxed HgAu2 crystal (PBE, Alexandria via LeMat-Bulk).

Computed properties:
DOS at the Fermi energy: 1.20 states/eV/f.u.
magnetization: 0.00 μB/f.u.
ΔE_f: 88 meV/atom
DFT total energy: -2.20 eV/atom

Cell lengths 3.062, 4.230, 8.977 Å; angles 90.00, 90.00, 90.00 degrees
Space group Immm (No. 71)
Symmetry-distinct sites (fractional):
Hg (0.000, 0.000, 0.000) (multiplicity 2)
Au (0.000, 0.000, 0.331) (multiplicity 4)

---

# HgAu4

A relaxed HgAu4 crystal (PBE, Alexandria via LeMat-Bulk).

Computed properties:
polymorph energy (0 for the lowest one): 0.027 eV per atom
DOS at the Fermi energy: 1.42 states/eV/f.u.
magnetization: 0.00 μB/f.u.
ΔE_f: 69 meV/atom
DFT total energy: -2.61 eV/atom

Cell lengths 3.0340, 3.0340, 35.7931 Å; angles 90.00, 90.00, 120.00 degrees
Space group R-3m (No. 166, hexagonal axes)
Symmetry-distinct sites (fractional):
Hg (0.0000, 0.0000, 0.0000) (multiplicity 3)
Au (0.0000, 0.0000, 0.1987) (multiplicity 6)
Au (0.0000, 0.0000, 0.4030) (multiplicity 6)

---

# Hg2Au13

A relaxed Hg2Au13 crystal (PBE, Alexandria via LeMat-Bulk).

Computed properties:
polymorph energy (0 for the lowest one): 0.000 eV per atom
DOS at the Fermi energy: 3.97 states/eV/f.u.
magnetization: 0.00 μB/f.u.
ΔE_f: 69 meV/atom
DFT total energy: -2.81 eV/atom

Cell lengths 6.156, 7.110, 7.713 Å; angles 62.85, 80.55, 76.90 degrees
Space group P-1 (No. 2)
Symmetry-distinct sites (fractional):
Hg (0.105, 0.155, 0.079) (multiplicity 2)
Au (0.000, 0.000, 0.500) (multiplicity 1)
Au (0.025, 0.721, 0.330) (multiplicity 2)
Au (0.173, 0.571, 0.722) (multiplicity 2)
Au (0.280, 0.498, 0.093) (multiplicity 2)
Au (0.379, 0.907, 0.739) (multiplicity 2)
Au (0.403, 0.341, 0.472) (multiplicity 2)
Au (0.466, 0.795, 0.151) (multiplicity 2)

---

# Hg2Au

A relaxed Hg2Au crystal (PBE, Alexandria via LeMat-Bulk).

Computed properties:
DOS at the Fermi energy: 0.97 states/eV/f.u.
magnetization: 0.00 μB/f.u.
ΔE_f: 147 meV/atom
DFT total energy: -1.15 eV/atom

Cell lengths 3.485, 3.485, 10.862 Å; angles 90.00, 90.00, 90.00 degrees
Space group I4/mmm (No. 139)
Symmetry-distinct sites (fractional):
Hg (0.000, 0.000, 0.157) (multiplicity 4)
Au (0.000, 0.000, 0.500) (multiplicity 2)

---

The lowest DFT total energy belongs to which entry? Hg2Au13

---

Among the records above, which one has the highest DOS at the Fermi energy? Hg2Au13